(1)
! CaSiW2 (PBE-GGA, relaxed); values from VASP
! Space group: No. 216
! Crystal system: cubic
&SYSTEM
  ibrav = 0, nat = 16, ntyp = 3
/
ATOMIC_SPECIES
Ca 40.08 Ca.upf
Si 28.09 Si.upf
W 183.84 W.upf
CELL_PARAMETERS angstrom
6.483 0.000 0.000
0.000 6.483 0.000
0.000 0.000 6.483
ATOMIC_POSITIONS crystal
Ca 0.000 0.000 0.000
Ca 0.000 0.500 0.500
Ca 0.500 0.000 0.500
Ca 0.500 0.500 0.000
Si 0.250 0.250 0.250
Si 0.250 0.750 0.750
Si 0.750 0.250 0.750
Si 0.750 0.750 0.250
W 0.000 0.000 0.500
W 0.000 0.500 0.000
W 0.250 0.250 0.750
W 0.250 0.750 0.250
W 0.500 0.000 0.000
W 0.500 0.500 0.500
W 0.750 0.250 0.250
W 0.750 0.750 0.750


(2)
! Sr2ZrIn (PBE-GGA, relaxed); values from VASP
! Formation enthalpy at 0 K in meV per atom: 113
! Space group: No. 8
! Crystal system: monoclinic
&SYSTEM
  ibrav = 0, nat = 8, ntyp = 3
/
ATOMIC_SPECIES
Sr 87.62 Sr.upf
Zr 91.22 Zr.upf
In 114.82 In.upf
CELL_PARAMETERS angstrom
13.605 0.000 0.000
0.000 3.826 0.000
-2.461 0.000 5.249
ATOMIC_POSITIONS crystal
Sr 0.000 0.000 0.000
Sr 0.209 0.000 0.708
Sr 0.500 0.500 0.000
Sr 0.709 0.500 0.708
Zr 0.427 0.000 0.427
Zr 0.927 0.500 0.427
In 0.244 0.500 0.243
In 0.744 0.000 0.243


(3)
! LiNi2Sb (PBE-GGA, relaxed); values from VASP
! Space group: No. 119
! Crystal system: tetragonal
&SYSTEM
  ibrav = 0, nat = 8, ntyp = 3
/
ATOMIC_SPECIES
Li 6.94 Li.upf
Ni 58.69 Ni.upf
Sb 121.76 Sb.upf
CELL_PARAMETERS angstrom
3.751 0.000 0.000
0.000 3.751 0.000
0.000 0.000 7.622
ATOMIC_POSITIONS crystal
Li 0.000 0.000 0.000
Li 0.500 0.500 0.500
Ni 0.000 0.000 0.500
Ni 0.000 0.500 0.250
Ni 0.500 0.000 0.750
Ni 0.500 0.500 0.000
Sb 0.000 0.500 0.750
Sb 0.500 0.000 0.250


(4)
! Ho2Cd3Pd2 (PBE-GGA, relaxed); values from VASP
! Formation enthalpy at 0 K in meV per atom: -599
! Space group: No. 12
! Crystal system: monoclinic
! Relative energy among the computed polymorphs in eV per formula unit: 0.000
&SYSTEM
  ibrav = 0, nat = 14, ntyp = 3
/
ATOMIC_SPECIES
Ho 164.93 Ho.upf
Cd 112.41 Cd.upf
Pd 106.42 Pd.upf
CELL_PARAMETERS angstrom
9.766 0.000 0.000
0.000 4.472 0.000
-2.540 0.000 6.972
ATOMIC_POSITIONS crystal
Ho 0.139 0.000 0.283
Ho 0.361 0.500 0.717
Ho 0.639 0.500 0.283
Ho 0.861 0.000 0.717
Cd 0.000 0.500 0.500
Cd 0.128 0.500 0.941
Cd 0.372 0.000 0.059
Cd 0.500 0.000 0.500
Cd 0.628 0.000 0.941
Cd 0.872 0.500 0.059
Pd 0.156 0.000 0.690
Pd 0.344 0.500 0.310
Pd 0.656 0.500 0.690
Pd 0.844 0.000 0.310


(5)
! Pr7Tl2Rh2 (PBE-GGA, relaxed); values from VASP
! Formation enthalpy at 0 K in meV per atom: -327
! Space group: No. 65
! Crystal system: orthorhombic
&SYSTEM
  ibrav = 0, nat = 11, ntyp = 3
/
ATOMIC_SPECIES
Pr 140.91 Pr.upf
Tl 204.38 Tl.upf
Rh 102.91 Rh.upf
CELL_PARAMETERS angstrom
4.187 -5.749 0.000
4.187 5.749 0.000
0.000 0.000 7.372
ATOMIC_POSITIONS crystal
Pr 0.000 0.000 0.000
Pr 0.000 0.500 0.251
Pr 0.000 0.500 0.749
Pr 0.500 0.000 0.251
Pr 0.500 0.000 0.749
Pr 0.500 0.500 0.242
Pr 0.500 0.500 0.758
Tl 0.177 0.177 0.500
Tl 0.823 0.823 0.500
Rh 0.290 0.710 0.000
Rh 0.710 0.290 0.000


(6)
! NaAcS2 (PBE-GGA, relaxed); values from VASP
! Space group: No. 123
! Crystal system: tetragonal
&SYSTEM
  ibrav = 0, nat = 4, ntyp = 3
/
ATOMIC_SPECIES
Na 22.99 Na.upf
Ac 227.00 Ac.upf
S 32.06 S.upf
CELL_PARAMETERS angstrom
5.058 0.000 0.000
0.000 5.058 0.000
0.000 0.000 3.682
ATOMIC_POSITIONS crystal
Na 0.000 0.000 0.000
Ac 0.500 0.500 0.000
S 0.000 0.500 0.500
S 0.500 0.000 0.500


(7)
! TbTmCI (PBE-GGA, relaxed); values from VASP
! Space group: No. 160
! Crystal system: trigonal
&SYSTEM
  ibrav = 0, nat = 12, ntyp = 4
/
ATOMIC_SPECIES
Tb 158.93 Tb.upf
Tm 168.93 Tm.upf
C 12.01 C.upf
I 126.90 I.upf
CELL_PARAMETERS angstrom
3.745 0.000 0.000
-1.873 3.243 0.000
0.000 0.000 22.133
ATOMIC_POSITIONS crystal
Tb 0.000 0.000 0.000
Tb 0.333 0.667 0.667
Tb 0.667 0.333 0.333
Tm 0.000 0.000 0.780
Tm 0.333 0.667 0.447
Tm 0.667 0.333 0.113
C 0.000 0.000 0.395
C 0.333 0.667 0.061
C 0.667 0.333 0.728
I 0.000 0.000 0.222
I 0.333 0.667 0.888
I 0.667 0.333 0.555


(8)
! CaHPb (PBE-GGA, relaxed); values from VASP
! Space group: No. 187
! Crystal system: hexagonal
! Relative energy among the computed polymorphs in eV per formula unit: 0.562
&SYSTEM
  ibrav = 0, nat = 3, ntyp = 3
/
ATOMIC_SPECIES
Ca 40.08 Ca.upf
H 1.01 H.upf
Pb 207.20 Pb.upf
CELL_PARAMETERS angstrom
3.624 0.000 0.000
-1.812 3.139 0.000
0.000 0.000 6.002
ATOMIC_POSITIONS crystal
Ca 0.000 0.000 0.000
H 0.667 0.333 0.000
Pb 0.333 0.667 0.500


| no. | energy (eV per cell) | V (Å³/cell) |
| --- | --- | --- |
| 1 | -126.44 | 273 |
| 2 | -28.39 | 273 |
| 3 | -37.15 | 107 |
| 4 | -52.95 | 304 |
| 5 | -56.49 | 355 |
| 6 | -19.98 | 94 |
| 7 | -68.53 | 269 |
| 8 | -9.91 | 68 |